[1]
{"formula": "MnBeCdW2", "functional": "PBE", "state": "optimized geometry", "cell": [[4.2597, 0.0000, 0.0000], [0.0000, 4.2597, 0.0000], [0.0000, 0.0000, 4.2108]], "species": ["Mn", "Be", "Cd", "W", "W"], "frac_coords": [[0.0000, 0.0000, 0.0000], [0.5000, 0.5000, 0.5000], [0.5000, 0.5000, 0.0000], [0.0000, 0.5000, 0.5000], [0.5000, 0.0000, 0.5000]], "vol_a3_per_cell": 76.4, "energy_ev_per_atom": -6.692, "formation_enthalpy_0k_ev_per_atom": 1.252}


[2]
{"formula": "MgMnRu2", "functional": "PBE", "state": "optimized geometry", "cell": [[4.4827, -1.4102, 0.0000], [4.4827, 1.4102, 0.0000], [-1.2531, 0.0000, 4.5736]], "species": ["Mg", "Mn", "Ru", "Ru"], "frac_coords": [[0.0000, 0.0000, 0.0000], [0.5000, 0.5000, 0.5000], [0.2303, 0.2303, 0.7217], [0.7697, 0.7697, 0.2783]], "vol_a3_per_cell": 57.8, "energy_ev_per_atom": -7.204, "formation_enthalpy_0k_ev_per_atom": 0.125}


[3]
{"formula": "AlZn6Pd2", "functional": "PBE", "state": "optimized geometry", "cell": [[6.4137, -1.3978, 0.0000], [6.4137, 1.3978, 0.0000], [-5.1411, 0.0000, 7.5863]], "species": ["Al", "Zn", "Zn", "Zn", "Zn", "Zn", "Zn", "Pd", "Pd"], "frac_coords": [[0.0000, 0.0000, 0.0000], [0.0433, 0.0433, 0.7410], [0.2400, 0.2400, 0.1114], [0.3746, 0.3746, 0.4529], [0.6254, 0.6254, 0.5471], [0.7600, 0.7600, 0.8886], [0.9567, 0.9567, 0.2590], [0.3486, 0.3486, 0.7216], [0.6514, 0.6514, 0.2784]], "vol_a3_per_cell": 136.0, "energy_ev_per_atom": -2.693, "formation_enthalpy_0k_ev_per_atom": -0.274}